P:
## NaLa2Rh2 (GGA-PBE)

Data for crystalline NaLa2Rh2 at its relaxed geometry.

CIF file:
```
data_NaLa2Rh2
_chemical_formula_sum 'Na2 La4 Rh4'
_space_group_name_H-M_alt 'P 4/m b m'
_space_group_IT_number 127
_space_group_name_Hall '-P 4 2ab'
_cell_length_a 8.439
_cell_length_b 8.439
_cell_length_c 3.451
_cell_angle_alpha 90.00
_cell_angle_beta 90.00
_cell_angle_gamma 90.00
loop_
_atom_site_label
_atom_site_fract_x
_atom_site_fract_y
_atom_site_fract_z
Na1 0.000 0.000 0.000
La1 0.146 0.354 0.000
Rh1 0.147 0.647 0.500
```

Summary:
N(E_F), states/eV/cell: 5.77
Crystal system: tetragonal
Total magnetization, μB/f.u.: 0.000
V, Å³/atom: 24.6


Q:
## NaLa2Rh2 (GGA-PBE)

Data for crystalline NaLa2Rh2 at its relaxed geometry.

CIF file:
```
data_NaLa2Rh2
_chemical_formula_sum 'Na2 La4 Rh4'
_space_group_name_H-M_alt 'P 4/m b m'
_space_group_IT_number 127
_space_group_name_Hall '-P 4 2ab'
_cell_length_a 8.134
_cell_length_b 8.134
_cell_length_c 3.716
_cell_angle_alpha 90.00
_cell_angle_beta 90.00
_cell_angle_gamma 90.00
loop_
_atom_site_label
_atom_site_fract_x
_atom_site_fract_y
_atom_site_fract_z
Na1 0.000 0.000 0.000
La1 0.156 0.344 0.500
Rh1 0.138 0.638 0.000
```

Summary:
N(E_F), states/eV/cell: 6.75
Crystal system: tetragonal
Total magnetization, μB/f.u.: 0.000
V, Å³/atom: 24.6


R:
## NaLa2Rh2 (GGA-PBE)

Data for crystalline NaLa2Rh2 at its relaxed geometry.

CIF file:
```
data_NaLa2Rh2
_chemical_formula_sum 'Na2 La4 Rh4'
_space_group_name_H-M_alt 'I 4/m m m'
_space_group_IT_number 139
_space_group_name_Hall '-I 4 2'
_cell_length_a 5.387
_cell_length_b 5.387
_cell_length_c 8.996
_cell_angle_alpha 90.00
_cell_angle_beta 90.00
_cell_angle_gamma 90.00
loop_
_atom_site_label
_atom_site_fract_x
_atom_site_fract_y
_atom_site_fract_z
Na1 0.000 0.000 0.000
La1 0.000 0.500 0.250
Rh1 0.000 0.000 0.347
```

Summary:
N(E_F), states/eV/cell: 5.72
Crystal system: tetragonal
Total magnetization, μB/f.u.: 0.000
V, Å³/atom: 26.1


Relative energies in kJ/mol of atoms: P 12.5; Q 0.0; R 12.0


P:
## NaSrLa2Rh (GGA-PBE)

Data for crystalline NaSrLa2Rh at its relaxed geometry.

CIF file:
```
data_NaSrLa2Rh
_chemical_formula_sum 'Na1 Sr1 La2 Rh1'
_space_group_name_H-M_alt 'P 4/m m m'
_space_group_IT_number 123
_space_group_name_Hall '-P 4 2'
_cell_length_a 5.485
_cell_length_b 5.485
_cell_length_c 6.190
_cell_angle_alpha 90.00
_cell_angle_beta 90.00
_cell_angle_gamma 90.00
loop_
_atom_site_label
_atom_site_fract_x
_atom_site_fract_y
_atom_site_fract_z
Na1 0.000 0.000 0.000
Sr1 0.500 0.500 0.000
La1 0.000 0.500 0.500
Rh1 0.000 0.000 0.500
```

Summary:
N(E_F), states/eV/cell: 4.62
Crystal system: tetragonal
Total magnetization, μB/f.u.: 0.000
V, Å³/atom: 37.3


Q:
## NaSrLa2Rh (GGA-PBE)

Data for crystalline NaSrLa2Rh at its relaxed geometry.

CIF file:
```
data_NaSrLa2Rh
_chemical_formula_sum 'Na1 Sr1 La2 Rh1'
_space_group_name_H-M_alt 'P 4/m m m'
_space_group_IT_number 123
_space_group_name_Hall '-P 4 2'
_cell_length_a 5.566
_cell_length_b 5.566
_cell_length_c 6.241
_cell_angle_alpha 90.00
_cell_angle_beta 90.00
_cell_angle_gamma 90.00
loop_
_atom_site_label
_atom_site_fract_x
_atom_site_fract_y
_atom_site_fract_z
Na1 0.000 0.000 0.000
Sr1 0.500 0.500 0.000
La1 0.000 0.500 0.500
Rh1 0.500 0.500 0.500
```

Summary:
N(E_F), states/eV/cell: 4.49
Crystal system: tetragonal
Total magnetization, μB/f.u.: 0.000
V, Å³/atom: 38.7


Relative energies in kJ/mol of atoms: P 8.1; Q 0.0


P:
## NaLa2TiRh (GGA-PBE)

Data for crystalline NaLa2TiRh at its relaxed geometry.

CIF file:
```
data_NaLa2TiRh
_chemical_formula_sum 'Na1 La2 Ti1 Rh1'
_space_group_name_H-M_alt 'P 4/m m m'
_space_group_IT_number 123
_space_group_name_Hall '-P 4 2'
_cell_length_a 5.611
_cell_length_b 5.611
_cell_length_c 4.676
_cell_angle_alpha 90.00
_cell_angle_beta 90.00
_cell_angle_gamma 90.00
loop_
_atom_site_label
_atom_site_fract_x
_atom_site_fract_y
_atom_site_fract_z
Na1 0.000 0.000 0.000
La1 0.000 0.500 0.000
Ti1 0.000 0.000 0.500
Rh1 0.500 0.500 0.500
```

Summary:
N(E_F), states/eV/cell: 7.42
Crystal system: tetragonal
Total magnetization, μB/f.u.: 2.140
V, Å³/atom: 29.4


Q:
## NaLa2TiRh (GGA-PBE)

Data for crystalline NaLa2TiRh at its relaxed geometry.

CIF file:
```
data_NaLa2TiRh
_chemical_formula_sum 'Na1 La2 Ti1 Rh1'
_space_group_name_H-M_alt 'P 4/m m m'
_space_group_IT_number 123
_space_group_name_Hall '-P 4 2'
_cell_length_a 5.659
_cell_length_b 5.659
_cell_length_c 4.621
_cell_angle_alpha 90.00
_cell_angle_beta 90.00
_cell_angle_gamma 90.00
loop_
_atom_site_label
_atom_site_fract_x
_atom_site_fract_y
_atom_site_fract_z
Na1 0.000 0.000 0.000
La1 0.000 0.500 0.500
Ti1 0.500 0.500 0.500
Rh1 0.500 0.500 0.000
```

Summary:
N(E_F), states/eV/cell: 5.86
Crystal system: tetragonal
Total magnetization, μB/f.u.: 0.000
V, Å³/atom: 29.6


Relative energies in kJ/mol of atoms: P 96.0; Q 0.0


P:
## NaLa2TlRh (GGA-PBE)

Data for crystalline NaLa2TlRh at its relaxed geometry.

CIF file:
```
data_NaLa2TlRh
_chemical_formula_sum 'Na1 La2 Tl1 Rh1'
_space_group_name_H-M_alt 'P 4/m m m'
_space_group_IT_number 123
_space_group_name_Hall '-P 4 2'
_cell_length_a 5.439
_cell_length_b 5.439
_cell_length_c 5.461
_cell_angle_alpha 90.00
_cell_angle_beta 90.00
_cell_angle_gamma 90.00
loop_
_atom_site_label
_atom_site_fract_x
_atom_site_fract_y
_atom_site_fract_z
Na1 0.000 0.000 0.000
La1 0.000 0.500 0.500
Tl1 0.500 0.500 0.000
Rh1 0.000 0.000 0.500
```

Summary:
N(E_F), states/eV/cell: 6.36
Crystal system: tetragonal
Total magnetization, μB/f.u.: 0.017
V, Å³/atom: 32.3


Q:
## NaLa2TlRh (GGA-PBE)

Data for crystalline NaLa2TlRh at its relaxed geometry.

CIF file:
```
data_NaLa2TlRh
_chemical_formula_sum 'Na1 La2 Tl1 Rh1'
_space_group_name_H-M_alt 'P 4/m m m'
_space_group_IT_number 123
_space_group_name_Hall '-P 4 2'
_cell_length_a 5.530
_cell_length_b 5.530
_cell_length_c 5.407
_cell_angle_alpha 90.00
_cell_angle_beta 90.00
_cell_angle_gamma 90.00
loop_
_atom_site_label
_atom_site_fract_x
_atom_site_fract_y
_atom_site_fract_z
Na1 0.000 0.000 0.000
La1 0.000 0.500 0.500
Tl1 0.500 0.500 0.000
Rh1 0.500 0.500 0.500
```

Summary:
N(E_F), states/eV/cell: 4.73
Crystal system: tetragonal
Total magnetization, μB/f.u.: 0.000
V, Å³/atom: 33.1


Relative energies in kJ/mol of atoms: P 5.5; Q 0.0


P:
## NaLaRu3 (GGA-PBE)

Data for crystalline NaLaRu3 at its relaxed geometry.

CIF file:
```
data_NaLaRu3
_chemical_formula_sum 'Na1 La1 Ru3'
_space_group_name_H-M_alt 'P m -3 m'
_space_group_IT_number 221
_space_group_name_Hall '-P 4 2 3'
_cell_length_a 4.650
_cell_length_b 4.650
_cell_length_c 4.650
_cell_angle_alpha 90.00
_cell_angle_beta 90.00
_cell_angle_gamma 90.00
loop_
_atom_site_label
_atom_site_fract_x
_atom_site_fract_y
_atom_site_fract_z
Na1 0.000 0.000 0.000
La1 0.500 0.500 0.500
Ru1 0.000 0.000 0.500
```

Summary:
N(E_F), states/eV/cell: 11.04
Crystal system: cubic
Total magnetization, μB/f.u.: 0.133
V, Å³/atom: 20.1


Q:
## NaLaRu3 (GGA-PBE)

Data for crystalline NaLaRu3 at its relaxed geometry.

CIF file:
```
data_NaLaRu3
_chemical_formula_sum 'Na1 La1 Ru3'
_space_group_name_H-M_alt 'P m -3 m'
_space_group_IT_number 221
_space_group_name_Hall '-P 4 2 3'
_cell_length_a 4.935
_cell_length_b 4.935
_cell_length_c 4.935
_cell_angle_alpha 90.00
_cell_angle_beta 90.00
_cell_angle_gamma 90.00
loop_
_atom_site_label
_atom_site_fract_x
_atom_site_fract_y
_atom_site_fract_z
Na1 0.000 0.000 0.000
La1 0.500 0.500 0.500
Ru1 0.000 0.500 0.500
```

Summary:
N(E_F), states/eV/cell: 6.50
Crystal system: cubic
Total magnetization, μB/f.u.: 3.508
V, Å³/atom: 24.0


Relative energies in kJ/mol of atoms: P 0.0; Q 5.9


P:
## NaLaRu2 (GGA-PBE)

Data for crystalline NaLaRu2 at its relaxed geometry.

CIF file:
```
data_NaLaRu2
_chemical_formula_sum 'Na4 La4 Ru8'
_space_group_name_H-M_alt 'F m -3 m'
_space_group_IT_number 225
_space_group_name_Hall '-F 4 2 3'
_cell_length_a 6.726
_cell_length_b 6.726
_cell_length_c 6.726
_cell_angle_alpha 90.00
_cell_angle_beta 90.00
_cell_angle_gamma 90.00
loop_
_atom_site_label
_atom_site_fract_x
_atom_site_fract_y
_atom_site_fract_z
Na1 0.000 0.000 0.000
La1 0.000 0.000 0.500
Ru1 0.250 0.250 0.250
```

Summary:
N(E_F), states/eV/cell: 22.22
Crystal system: cubic
Total magnetization, μB/f.u.: 0.000
V, Å³/atom: 19.0


Q:
## NaLaRu2 (GGA-PBE)

Data for crystalline NaLaRu2 at its relaxed geometry.

CIF file:
```
data_NaLaRu2
_chemical_formula_sum 'Na4 La4 Ru8'
_space_group_name_H-M_alt 'I -4 2 d'
_space_group_IT_number 122
_space_group_name_Hall 'I -4 2bw'
_cell_length_a 7.776
_cell_length_b 7.776
_cell_length_c 5.408
_cell_angle_alpha 90.00
_cell_angle_beta 90.00
_cell_angle_gamma 90.00
loop_
_atom_site_label
_atom_site_fract_x
_atom_site_fract_y
_atom_site_fract_z
Na1 0.000 0.000 0.000
La1 0.000 0.000 0.500
Ru1 0.245 0.250 0.125
```

Summary:
N(E_F), states/eV/cell: 22.97
Crystal system: tetragonal
Total magnetization, μB/f.u.: 0.000
V, Å³/atom: 20.4


Relative energies in kJ/mol of atoms: P 0.0; Q 20.6